(1)
# YB2PS | Alexandria | PBE | optimized geometry
data_YB2PS
_symmetry_space_group_name_H-M 'P 4/m m m'
_symmetry_Int_Tables_number 123
_symmetry_space_group_name_Hall '-P 4 2'
_cell_length_a 3.8401
_cell_length_b 3.8401
_cell_length_c 5.3223
_cell_angle_alpha 90.00
_cell_angle_beta 90.00
_cell_angle_gamma 90.00
loop_
_atom_site_label
_atom_site_type_symbol
_atom_site_fract_x
_atom_site_fract_y
_atom_site_fract_z
Y1 Y 0.0000 0.0000 0.0000
B1 B 0.0000 0.5000 0.5000
P1 P 0.5000 0.5000 0.5000
S1 S 0.5000 0.5000 0.0000
# Energy relative to the elements, uncorrected, eV per atom: 0.336
# Energy relative to the lowest polymorph listed for this composition, meV per atom: 110

***

(2)
# Li2InSb | Alexandria | PBE | optimized geometry
data_Li2InSb
_symmetry_space_group_name_H-M 'P 4 m m'
_symmetry_Int_Tables_number 99
_cell_length_a 3.3537
_cell_length_b 3.3537
_cell_length_c 7.7513
_cell_angle_alpha 90.00
_cell_angle_beta 90.00
_cell_angle_gamma 90.00
loop_
_symmetry_equiv_pos_as_xyz
'x,y,z'
'-y,x,z'
'-x,-y,z'
'y,-x,z'
'-x,y,z'
'y,x,z'
'x,-y,z'
'-y,-x,z'
loop_
_atom_site_label
_atom_site_type_symbol
_atom_site_fract_x
_atom_site_fract_y
_atom_site_fract_z
Li1 Li 0.0000 0.0000 0.0000
Li2 Li 0.5000 0.5000 0.2174
In1 In 0.5000 0.5000 0.7820
Sb1 Sb 0.0000 0.0000 0.4315
# Energy relative to the elements, uncorrected, eV per atom: -0.129

***

(3)
# LiCaAg2 | Alexandria | PBE | optimized geometry
data_LiCaAg2
_symmetry_space_group_name_H-M 'P 4/m m m'
_symmetry_Int_Tables_number 123
_symmetry_space_group_name_Hall '-P 4 2'
_cell_length_a 3.5302
_cell_length_b 3.5302
_cell_length_c 6.7656
_cell_angle_alpha 90.00
_cell_angle_beta 90.00
_cell_angle_gamma 90.00
loop_
_atom_site_label
_atom_site_type_symbol
_atom_site_fract_x
_atom_site_fract_y
_atom_site_fract_z
Li1 Li 0.0000 0.0000 0.0000
Ca1 Ca 0.0000 0.0000 0.5000
Ag1 Ag 0.5000 0.5000 0.2102
# Energy relative to the lowest polymorph listed for this composition, meV per atom: 3

***

Repeat the second record exactly.
# Li2InSb | Alexandria | PBE | optimized geometry
data_Li2InSb
_symmetry_space_group_name_H-M 'P 4 m m'
_symmetry_Int_Tables_number 99
_cell_length_a 3.3537
_cell_length_b 3.3537
_cell_length_c 7.7513
_cell_angle_alpha 90.00
_cell_angle_beta 90.00
_cell_angle_gamma 90.00
loop_
_symmetry_equiv_pos_as_xyz
'x,y,z'
'-y,x,z'
'-x,-y,z'
'y,-x,z'
'-x,y,z'
'y,x,z'
'x,-y,z'
'-y,-x,z'
loop_
_atom_site_label
_atom_site_type_symbol
_atom_site_fract_x
_atom_site_fract_y
_atom_site_fract_z
Li1 Li 0.0000 0.0000 0.0000
Li2 Li 0.5000 0.5000 0.2174
In1 In 0.5000 0.5000 0.7820
Sb1 Sb 0.0000 0.0000 0.4315
# Energy relative to the elements, uncorrected, eV per atom: -0.129